A relaxed structure of AcPr2Ho8. Source: Alexandria, functional GGA-PBE.

```
11
Lattice="-5.217 1.841 0.307 -1.941 -6.323 4.923 5.537 6.707 3.893" Properties=species:S:1:pos:R:3 pbc="T T T"
Pr -1.432 3.605 4.066
Pr -0.190 -1.381 5.056
Ho -2.619 0.336 3.478
Ho -2.251 0.789 7.031
Ho -3.414 -2.252 5.493
Ho 1.792 4.476 3.630
Ho -0.255 6.675 5.657
Ho 0.998 1.887 5.645
Ho 0.629 1.435 2.092
Ho -1.367 -4.452 3.466
Ac -2.609 0.920 0.153
```

Calculated values
Space group   Immm
Polymorph energy (0 for the lowest one)   0 meV per atom
Total moment   0.0 μB/f.u.

A relaxed structure of Ac2Pr3Ho4. Source: Alexandria, functional GGA-PBE.

```
9
Lattice="-1.162 -3.256 1.350 2.514 0.086 -2.729 20.065 0.512 18.499" Properties=species:S:1:pos:R:3 pbc="T T T"
Pr 19.726 0.503 18.186
Pr 13.019 -1.811 11.936
Pr 6.641 0.169 6.123
Ho 10.815 0.276 9.971
Ho 15.089 0.385 13.911
Ho 4.619 -2.025 4.191
Ho 8.874 -1.917 8.113
Ac 2.022 -2.092 1.797
Ac 17.374 -1.700 15.950
```

Calculated values
Space group   P3m1
Polymorph energy (0 for the lowest one)   48 meV per atom
Total moment   0.0 μB/f.u.

A relaxed structure of Ac2Pr5Ho4. Source: Alexandria, functional GGA-PBE.

```
11
Lattice="1.954 5.748 -1.947 6.255 -1.048 -7.510 -10.864 -7.415 2.114" Properties=species:S:1:pos:R:3 pbc="T T T"
Ho -6.973 -3.518 0.181
Ho 4.318 0.803 -7.524
Ho -3.906 -3.949 -1.734
Ho 1.251 1.234 -5.609
Ac -1.313 -1.337 -1.795
Ac -1.342 -1.377 -5.547
Pr 3.825 3.876 -5.651
Pr -6.480 -6.590 -1.692
Pr -4.455 -0.833 0.084
Pr 1.271 1.286 -1.904
Pr -3.926 -4.001 -5.439
```

Calculated values
Space group   P-1
Total DFT energy (no corrections)   -4.549 eV per atom
Total moment   0.0 μB/f.u.

A relaxed structure of AcPrHo3. Source: Alexandria, functional GGA-PBE.

```
20
Lattice="6.428 0.000 0.000 0.000 8.773 -3.591 0.000 0.314 12.251" Properties=species:S:1:pos:R:3 pbc="T T T"
Ho 5.321 7.736 6.731
Ho 5.386 4.154 5.705
Ho 2.151 7.517 0.579
Ho 4.321 3.193 2.401
Ho 5.365 5.799 0.160
Ho 4.277 1.570 8.081
Ho 1.042 4.932 2.955
Ho 1.107 1.351 1.929
Ho 2.107 5.894 6.259
Ho 4.256 8.384 -2.216
Ho 2.172 0.703 10.877
Ho 1.063 3.287 8.500
Ac 4.331 5.124 9.017
Ac 2.098 3.962 -0.356
Ac 1.117 8.505 3.974
Ac 5.312 0.581 4.687
Pr 1.065 6.979 9.506
Pr 4.279 6.651 3.484
Pr 2.149 2.436 5.176
Pr 5.363 2.107 -0.846
```

Calculated values
Space group   P2_1/c
Polymorph energy (0 for the lowest one)   0 meV per atom
Total moment   0.0 μB/f.u.

A relaxed structure of AcPr10Ho4. Source: Alexandria, functional GGA-PBE.

```
15
Lattice="6.398 0.000 2.889 3.199 9.082 1.444 -0.539 0.000 9.722" Properties=species:S:1:pos:R:3 pbc="T T T"
Pr 2.645 7.624 7.004
Pr 3.266 1.458 5.629
Pr 1.635 3.787 9.104
Pr 2.930 4.541 6.305
Pr 5.793 7.624 8.426
Pr 6.129 4.541 7.750
Pr 6.413 1.458 7.051
Pr 4.173 5.295 3.484
Pr 7.423 5.295 4.951
Pr 4.885 3.787 10.572
Ho 3.578 0.998 9.135
Ho 6.270 6.853 11.701
Ho 5.481 8.083 4.920
Ho 2.788 2.229 2.354
Ac 0.000 0.000 0.000
```

Calculated values
Space group   I4/m
Total DFT energy (no corrections)   -4.213 eV per atom
Total moment   0.0 μB/f.u.

A relaxed structure of Ac7Pr4Ho. Source: Alexandria, functional GGA-PBE.

```
12
Lattice="1.751 -2.434 7.150 -1.211 -6.351 -1.883 10.331 -5.468 3.942" Properties=species:S:1:pos:R:3 pbc="T T T"
Ac 6.539 -9.410 3.538
Ac 0.744 -5.034 4.409
Ac 4.332 -4.843 5.669
Ac 0.875 -1.217 3.575
Ac 10.128 -9.219 4.799
Ac 4.184 -8.637 6.534
Ac 6.687 -5.616 2.674
Pr 3.253 -7.448 2.939
Pr 7.401 -10.605 7.136
Pr 7.618 -6.805 6.269
Pr 3.471 -3.648 2.072
Ho 0.000 0.000 0.000
```

Calculated values
Space group   P-1
Total DFT energy (no corrections)   -4.337 eV per atom
Total moment   0.0 μB/f.u.

A relaxed structure of AcPr6Ho8. Source: Alexandria, functional GGA-PBE.

```
15
Lattice="0.561 2.921 9.205 -2.891 -5.873 7.123 5.340 -3.485 5.864" Properties=species:S:1:pos:R:3 pbc="T T T"
Ho 3.392 -1.602 8.308
Ho 1.946 0.465 11.521
Ho 1.856 -4.663 16.616
Ho 0.301 -4.203 7.701
Ho 1.063 -6.902 10.670
Ho -0.383 -4.834 13.883
Ho 1.154 -1.773 5.575
Ho 2.709 -2.234 14.491
Pr 3.398 -4.932 8.846
Pr -1.501 -4.703 10.507
Pr -0.389 -1.505 13.346
Pr 4.510 -1.734 11.684
Pr 2.850 -5.542 13.187
Pr 0.160 -0.894 9.004
Ac 0.000 0.000 0.000
```

Calculated values
Space group   R-3
Polymorph energy (0 for the lowest one)   63 meV per atom
Total moment   0.0 μB/f.u.

A relaxed structure of Ac2Pr6Ho5. Source: Alexandria, functional GGA-PBE.

```
26
Lattice="-3.167 0.616 1.860 5.986 -0.993 10.524 3.817 20.378 -0.247" Properties=species:S:1:pos:R:3 pbc="T T T"
Ho 6.790 15.305 10.226
Ho 3.397 0.619 9.310
Ho 1.899 9.097 3.952
Ho 3.569 14.583 4.979
Ho 0.325 10.497 0.806
Ho -0.155 4.695 1.910
Ho 1.409 -0.189 6.192
Ho 3.066 5.417 7.157
Ho 3.238 19.381 2.826
Ho 4.736 10.903 8.185
Pr 0.780 2.424 4.255
Pr 4.944 8.084 5.743
Pr 4.770 7.250 9.453
Pr 0.624 1.497 0.567
Pr 4.859 11.300 4.534
Pr 5.832 17.181 4.243
Pr 7.956 12.047 9.561
Pr 9.178 17.887 9.709
Pr 3.971 2.203 6.033
Pr 1.865 12.750 2.683
Pr 1.846 7.337 0.715
Pr 5.855 17.576 7.881
Ac 5.852 3.641 8.762
Ac 3.950 15.744 1.514
Ac 6.710 14.004 6.791
Ac 3.093 5.380 3.486
```

Calculated values
Space group   Pbam
Total DFT energy (no corrections)   -4.487 eV per atom
Total moment   0.0 μB/f.u.

A relaxed structure of Ac3PrHo2. Source: Alexandria, functional GGA-PBE.

```
12
Lattice="7.564 0.000 0.000 -3.782 4.679 -2.698 0.000 0.996 12.532" Properties=species:S:1:pos:R:3 pbc="T T T"
Ac 2.845 0.747 9.399
Ac 0.949 2.143 6.421
Ac 2.833 3.533 3.413
Ac 4.731 4.031 9.680
Ac 4.719 0.249 3.133
Ac -0.949 1.645 0.155
Ho 2.835 1.635 0.126
Ho 0.947 4.041 9.709
Ho 4.729 2.133 6.392
Ho -0.947 3.543 3.443
Pr -2.842 4.929 0.435
Pr 6.624 0.747 9.399
```

Calculated values
Space group   C2/c
Total DFT energy (no corrections)   -4.311 eV per atom
Total moment   0.0 μB/f.u.

A relaxed structure of Ac6Pr5Ho. Source: Alexandria, functional GGA-PBE.

```
12
Lattice="0.302 -2.819 -4.712 -2.408 -8.919 5.182 -6.926 7.245 -1.574" Properties=species:S:1:pos:R:3 pbc="T T T"
Ac -0.445 -3.616 -1.074
Ac -3.241 -1.758 0.842
Ac -4.578 1.757 -4.557
Ac -5.791 -2.735 -1.947
Ac -4.454 -6.249 3.452
Ac -1.661 -8.122 1.544
Pr -2.502 -0.952 -2.801
Pr -1.204 -4.459 2.591
Pr -6.531 -3.541 1.697
Pr -3.707 -5.411 -0.211
Pr -5.325 0.919 -0.893
Ho 0.000 0.000 0.000
```

Calculated values
Space group   Immm
Total DFT energy (no corrections)   -4.401 eV per atom
Total moment   0.0 μB/f.u.

A relaxed structure of AcPr8Ho4. Source: Alexandria, functional GGA-PBE.

```
13
Lattice="6.490 0.000 -3.501 -4.189 6.069 -0.001 1.571 1.085 10.677" Properties=species:S:1:pos:R:3 pbc="T T T"
Pr 2.857 1.973 5.295
Pr 2.574 1.777 1.291
Pr 1.297 5.376 5.884
Pr 1.015 5.181 1.880
Pr 4.206 5.376 4.315
Pr 6.518 2.027 4.315
Pr -0.334 1.777 2.860
Pr -2.646 5.126 2.860
Ho 0.000 0.000 0.000
Ho 1.150 3.034 -1.751
Ho -2.095 3.034 0.000
Ho 3.245 0.000 -1.751
Ac -1.309 3.577 5.338
```

Calculated values
Space group   R-3m
Total DFT energy (no corrections)   -4.437 eV per atom
Total moment   0.0 μB/f.u.

A relaxed structure of Ac2Pr2Ho3. Source: Alexandria, functional GGA-PBE.

```
7
Lattice="-2.670 -1.637 -5.554 3.934 -12.655 -1.769 0.213 -5.783 2.828" Properties=species:S:1:pos:R:3 pbc="T T T"
Ho 0.000 0.000 0.000
Ho 0.774 -8.964 -3.776
Ho 0.703 -11.111 -0.719
Pr 0.255 -3.647 -0.212
Pr 1.222 -16.428 -4.282
Ac 0.480 -7.430 -0.498
Ac 0.996 -12.646 -3.997
```

Calculated values
Space group   P-1
Total DFT energy (no corrections)   -4.455 eV per atom
Total moment   0.0 μB/f.u.